Entry 1:
Computed, not measured: crystalline Pr2GdPd at its relaxed geometry at the PBE-GGA level of DFT.

Values from the calculation:
For the total energy, the calculation gives -7.5204 eV per atom. The value obtained for the formation energy is -1.2 eV/f.u. As for the total moment: 8.5 μB/cell. The calculation puts the energy above the lowest structure with this stoichiometry at 0.000 eV/f.u.

a = 3.706 Å, b = 3.706 Å, c = 8.617 Å
α = 90.00°, β = 90.00°, γ = 90.00°
Space group P4/mmm (No. 123)
Unique sites:
Pr (0.000, 0.000, 0.202)
Gd (0.500, 0.500, 0.500)
Pd (0.500, 0.500, 0.000)

Entry 2:
Computed, not measured: crystalline CsZnIn3 at its relaxed geometry at the PBE-GGA level of DFT.

Values from the calculation:
For the total energy, the calculation gives -0.9566 eV per atom. The value obtained for the formation energy is 5.6 eV/f.u. As for the total moment: 0.0 μB/cell. The calculation puts the energy above the lowest structure with this stoichiometry at 5.781 eV/f.u.

a = 6.834 Å, b = 6.834 Å, c = 6.834 Å
α = 90.00°, β = 90.00°, γ = 90.00°
Space group Pm-3m (No. 221)
Unique sites:
Cs (0.000, 0.000, 0.000)
Zn (0.500, 0.500, 0.500)
In (0.000, 0.000, 0.500)

Entry 3:
Computed, not measured: crystalline SrTlAg at its relaxed geometry at the PBE-GGA level of DFT.

Values from the calculation:
For the total energy, the calculation gives -2.4867 eV per atom. The value obtained for the formation energy is -0.6 eV/f.u. As for the total moment: 0.0 μB/cell.

a = 7.294 Å, b = 7.294 Å, c = 7.294 Å
α = 90.00°, β = 90.00°, γ = 90.00°
Space group F-43m (No. 216)
Unique sites:
Sr (0.000, 0.000, 0.000)
Tl (0.000, 0.000, 0.500)
Ag (0.250, 0.250, 0.750)

Entry 4:
Computed, not measured: crystalline TiNb2Sb4 at its relaxed geometry at the PBE-GGA level of DFT.

Values from the calculation:
For the total energy, the calculation gives -6.3263 eV per atom. As for the total moment: 0.0 μB/cell.

a = 7.339 Å, b = 5.848 Å, c = 7.899 Å
α = 90.00°, β = 110.72°, γ = 90.00°
Space group P2_1/m (No. 11)
Unique sites:
Ti (0.199, 0.250, 0.242)
Nb (0.245, 0.750, 0.962)
Nb (0.317, 0.750, 0.402)
Sb (0.027, 0.750, 0.565)
Sb (0.047, 0.250, 0.876)
Sb (0.457, 0.505, 0.763)

Entry 5:
Computed, not measured: crystalline FeAsPC at its relaxed geometry at the PBE-GGA level of DFT.

Values from the calculation:
For the total energy, the calculation gives -6.5288 eV per atom. The value obtained for the formation energy is 1.6 eV/f.u. As for the total moment: 1.1 μB/cell. The calculation puts the energy above the lowest structure with this stoichiometry at 0.895 eV/f.u.

a = 5.081 Å, b = 2.953 Å, c = 7.329 Å
α = 90.00°, β = 107.48°, γ = 90.00°
Space group Cm (No. 8)
Unique sites:
Fe (0.000, 0.000, 0.000)
As (0.236, 0.000, 0.774)
P (0.497, 0.000, 0.388)
C (0.118, 0.000, 0.284)

Entry 6:
Computed, not measured: crystalline Y4CrCo at its relaxed geometry at the PBE-GGA level of DFT.

Values from the calculation:
For the total energy, the calculation gives -6.0878 eV per atom. The value obtained for the formation energy is 6.1 eV/f.u. As for the total moment: 24.6 μB/cell.

a = 8.724 Å, b = 8.724 Å, c = 8.724 Å
α = 90.00°, β = 90.00°, γ = 90.00°
Space group F-43m (No. 216)
Unique sites:
Y (0.125, 0.125, 0.125)
Cr (0.000, 0.000, 0.500)
Co (0.250, 0.250, 0.750)

Entry 7:
Computed, not measured: crystalline Cs2Pb2Au3 at its relaxed geometry at the PBE-GGA level of DFT.

Values from the calculation:
For the total energy, the calculation gives -2.9291 eV per atom. The value obtained for the formation energy is -1.5 eV/f.u. As for the total moment: 0.0 μB/cell. The calculation puts the energy above the lowest structure with this stoichiometry at 0.115 eV/f.u.

a = 7.935 Å, b = 8.315 Å, c = 9.155 Å
α = 90.00°, β = 112.71°, γ = 90.00°
Space group P2_1/c (No. 14)
Unique sites:
Cs (0.197, 0.121, 0.413)
Pb (0.339, 0.632, 0.540)
Au (0.000, 0.000, 0.000)
Au (0.452, 0.632, 0.278)

Entry 8:
Computed, not measured: crystalline PmErAgOs at its relaxed geometry at the PBE-GGA level of DFT.

Values from the calculation:
For the total energy, the calculation gives -6.0587 eV per atom. The value obtained for the formation energy is -0.8 eV/f.u. As for the total moment: 0.0 μB/cell.

a = 7.062 Å, b = 7.062 Å, c = 7.062 Å
α = 90.00°, β = 90.00°, γ = 90.00°
Space group F-43m (No. 216)
Unique sites:
Pm (0.000, 0.000, 0.000)
Er (0.000, 0.000, 0.500)
Ag (0.250, 0.250, 0.250)
Os (0.250, 0.250, 0.750)

Entry 9:
Computed, not measured: crystalline VCo4Cu at its relaxed geometry at the PBE-GGA level of DFT.

Values from the calculation:
For the total energy, the calculation gives -6.8650 eV per atom. The value obtained for the formation energy is 0.4 eV/f.u. As for the total moment: 14.5 μB/cell.

a = 6.547 Å, b = 6.547 Å, c = 6.547 Å
α = 90.00°, β = 90.00°, γ = 90.00°
Space group F-43m (No. 216)
Unique sites:
V (0.000, 0.000, 0.000)
Co (0.125, 0.125, 0.375)
Cu (0.250, 0.250, 0.750)

Entry 10:
Computed, not measured: crystalline SrCuAg2 at its relaxed geometry at the PBE-GGA level of DFT.

Values from the calculation:
For the total energy, the calculation gives -2.6725 eV per atom. The value obtained for the formation energy is 0.8 eV/f.u. As for the total moment: 0.0 μB/cell. The calculation puts the energy above the lowest structure with this stoichiometry at 1.236 eV/f.u.

a = 5.839 Å, b = 10.224 Å, c = 4.202 Å
α = 90.00°, β = 131.85°, γ = 90.00°
Space group C2/m (No. 12)
Unique sites:
Sr (0.000, 0.000, 0.000)
Cu (0.000, 0.500, 0.000)
Ag (0.250, 0.250, 0.500)

Entry 11:
Computed, not measured: crystalline KOs at its relaxed geometry at the PBE-GGA level of DFT.

Values from the calculation:
For the total energy, the calculation gives -5.3605 eV per atom. The value obtained for the formation energy is 1.6 eV/f.u. As for the total moment: 0.0 μB/cell. The calculation puts the energy above the lowest structure with this stoichiometry at 0.210 eV/f.u.

a = 8.315 Å, b = 2.825 Å, c = 10.095 Å
α = 90.00°, β = 91.90°, γ = 90.00°
Space group C2/m (No. 12)
Unique sites:
K (0.118, 0.000, 0.281)
Os (0.131, 0.500, 0.958)

Entry 12:
Computed, not measured: crystalline PmHoTm at its relaxed geometry at the PBE-GGA level of DFT.

Values from the calculation:
For the total energy, the calculation gives -4.5267 eV per atom. The value obtained for the formation energy is 0.2 eV/f.u. As for the total moment: 0.0 μB/cell. The calculation puts the energy above the lowest structure with this stoichiometry at 0.163 eV/f.u.

a = 5.6074 Å, b = 5.6074 Å, c = 3.4806 Å
α = 90.00°, β = 90.00°, γ = 120.00°
Space group P3m1 (No. 156)
Unique sites:
Pm (0.0000, 0.0000, 0.0000)
Ho (0.6667, 0.3333, 0.4994)
Tm (0.3333, 0.6667, 0.9985)

Entry 13:
Computed, not measured: crystalline LiMgPb2Se at its relaxed geometry at the PBE-GGA level of DFT.

Values from the calculation:
For the total energy, the calculation gives -2.5752 eV per atom. As for the total moment: 0.0 μB/cell.

a = 5.486 Å, b = 5.486 Å, c = 5.012 Å
α = 90.00°, β = 90.00°, γ = 90.00°
Space group P4/mmm (No. 123)
Unique sites:
Li (0.000, 0.000, 0.000)
Mg (0.000, 0.000, 0.500)
Pb (0.000, 0.500, 0.500)
Se (0.500, 0.500, 0.000)

Entry 14:
Computed, not measured: crystalline Fe2HIrPb at its relaxed geometry at the PBE-GGA level of DFT.

Values from the calculation:
For the total energy, the calculation gives -6.2491 eV per atom. As for the total moment: 4.6 μB/cell.

a = 4.001 Å, b = 4.001 Å, c = 3.968 Å
α = 90.00°, β = 90.00°, γ = 90.00°
Space group P4/mmm (No. 123)
Unique sites:
Fe (0.000, 0.500, 0.000)
H (0.000, 0.000, 0.000)
Ir (0.000, 0.000, 0.500)
Pb (0.500, 0.500, 0.500)

Entry 15:
Computed, not measured: crystalline Cs2US6 at its relaxed geometry at the PBE-GGA level of DFT.

Values from the calculation:
For the total energy, the calculation gives -5.1550 eV per atom. As for the total moment: 0.0 μB/cell.

a = 14.132 Å, b = 7.957 Å, c = 5.297 Å
α = 90.00°, β = 99.65°, γ = 90.00°
Space group C2/m (No. 12)
Unique sites:
Cs (0.164, 0.000, 0.249)
U (0.000, 0.500, 0.000)
S (0.050, 0.272, 0.668)
S (0.168, 0.500, 0.175)

Entry 16:
Computed, not measured: crystalline LaPb2W at its relaxed geometry at the PBE-GGA level of DFT.

Values from the calculation:
For the total energy, the calculation gives -5.8267 eV per atom. The value obtained for the formation energy is 2.0 eV/f.u. As for the total moment: 0.8 μB/cell. The calculation puts the energy above the lowest structure with this stoichiometry at 0.492 eV/f.u.

a = 3.691 Å, b = 3.691 Å, c = 7.896 Å
α = 90.00°, β = 90.00°, γ = 90.00°
Space group P4mm (No. 99)
Unique sites:
La (0.000, 0.000, 0.000)
Pb (0.000, 0.000, 0.583)
Pb (0.500, 0.500, 0.325)
W (0.500, 0.500, 0.742)

Entry 17:
Computed, not measured: crystalline Cs2AcYS4 at its relaxed geometry at the PBE-GGA level of DFT.

Values from the calculation:
For the total energy, the calculation gives -5.4334 eV per atom. As for the total moment: 0.0 μB/cell.

a = 7.457 Å, b = 4.305 Å, c = 8.467 Å
α = 90.00°, β = 106.92°, γ = 90.00°
Space group P2/m (No. 10)
Unique sites:
Cs (0.000, 0.000, 0.000)
Cs (0.500, 0.500, 0.000)
Ac (0.000, 0.500, 0.500)
Y (0.500, 0.000, 0.500)
S (0.248, 0.000, 0.689)
S (0.288, 0.500, 0.317)

Entry 18:
Computed, not measured: crystalline Y5HoTl6 at its relaxed geometry at the PBE-GGA level of DFT.

Values from the calculation:
For the total energy, the calculation gives -4.6249 eV per atom. The value obtained for the formation energy is -4.4 eV/f.u. As for the total moment: 0.0 μB/cell.

a = 9.263 Å, b = 16.161 Å, c = 5.372 Å
α = 90.00°, β = 125.27°, γ = 90.00°
Space group C2/m (No. 12)
Unique sites:
Y (0.000, 0.000, 0.000)
Y (0.000, 0.166, 0.500)
Y (0.000, 0.333, 0.000)
Ho (0.000, 0.500, 0.500)
Tl (0.248, 0.500, 0.248)
Tl (0.249, 0.334, 0.749)

Entry 19:
Computed, not measured: crystalline MnHg2P at its relaxed geometry at the PBE-GGA level of DFT.

Values from the calculation:
For the total energy, the calculation gives -3.3734 eV per atom. The value obtained for the formation energy is 1.7 eV/f.u. As for the total moment: 4.1 μB/cell.

a = 4.043 Å, b = 4.043 Å, c = 4.784 Å
α = 90.00°, β = 90.00°, γ = 90.00°
Space group P4/mmm (No. 123)
Unique sites:
Mn (0.000, 0.000, 0.000)
Hg (0.000, 0.500, 0.500)
P (0.500, 0.500, 0.000)

Entry 20:
Computed, not measured: crystalline ScSbPb at its relaxed geometry at the PBE-GGA level of DFT.

Values from the calculation:
For the total energy, the calculation gives -4.8937 eV per atom. As for the total moment: 0.0 μB/cell. The calculation puts the energy above the lowest structure with this stoichiometry at 0.598 eV/f.u.

a = 7.083 Å, b = 7.083 Å, c = 7.083 Å
α = 90.00°, β = 90.00°, γ = 90.00°
Space group F-43m (No. 216)
Unique sites:
Sc (0.000, 0.000, 0.000)
Sb (0.250, 0.250, 0.750)
Pb (0.250, 0.250, 0.250)